Entry 1:
DFT (PBE) results for crystalline LaNd5SmY2 at its relaxed geometry.

a b c (Å): 5.7706 10.6157 10.7412
angles (deg): 90.00 90.00 105.77
Atoms (fractional coordinates):
Y 0.8830 0.7660 0.8244
Nd 0.6100 0.2199 0.5262
Nd 0.9822 0.9643 0.5258
La 0.5838 0.1677 0.9499
Y 0.1170 0.2340 0.3244
Nd 0.5221 0.0441 0.2409
Nd 0.2816 0.5633 0.3112
Nd 0.7184 0.4367 0.8112
La 0.4162 0.8323 0.4499
Sm 0.7981 0.5961 0.5097
Nd 0.2953 0.5906 0.7035
Nd 0.3900 0.7801 0.0262
Y 0.8877 0.7753 0.2323
Nd 0.4779 0.9559 0.7409
Y 0.1123 0.2247 0.7323
Nd 0.0178 0.0357 0.0258
Nd 0.7047 0.4094 0.2035
Sm 0.2019 0.4039 0.0097

Computed properties:
Magnetic moment (Bohr magnetons per cell): 0.00
Electronic total energy (eV per formula unit): -45.15

***

Entry 2:
DFT (PBE) results for crystalline AlMo2Se at its relaxed geometry.

a b c (Å): 4.5466 3.3513 4.7289
angles (deg): 96.25 90.00 90.00
Atoms (fractional coordinates):
Se 0.5000 0.2500 0.2500
Mo 0.0000 0.0649 0.9499
Al 0.5000 0.7500 0.7500
Mo 0.0000 0.4351 0.5501

Computed properties:
Magnetic moment (Bohr magnetons per cell): 0.00
Offset from the most stable computed form (eV/atom): 0.298
Electronic total energy (eV per formula unit): -28.05

***

Entry 3:
DFT (PBE) results for crystalline Ag3PdF6 at its relaxed geometry.

a b c (Å): 5.8828 6.1425 8.5133
angles (deg): 90.00 92.13 90.00
Last column: magnetic moment on the atom in μB.
Atoms (fractional coordinates):
F 0.7800 0.6787 0.4571  0.02
Pd 0.5000 0.5000 0.5000  0.69
F 0.1901 0.2876 0.9124  0.10
F 0.1268 0.0643 0.2206  0.03
Ag 0.9739 0.4410 0.2571  0.01
Ag 0.0261 0.5590 0.7429  0.01
Pd 0.0000 0.0000 0.0000  0.69
Ag 0.5000 0.5000 0.0000  0.01
F 0.2200 0.3213 0.5429  0.02
F 0.6901 0.2124 0.4124  0.10
F 0.8732 0.9357 0.7794  0.03
F 0.7200 0.1787 0.0429  0.02
F 0.8099 0.7124 0.0876  0.10
F 0.3732 0.5643 0.2794  0.03
F 0.3099 0.7876 0.5876  0.10
Ag 0.5261 0.9410 0.2429  0.01
Ag 0.4739 0.0590 0.7571  0.01
Ag 0.0000 0.0000 0.5000  0.01
F 0.6268 0.4357 0.7206  0.03
F 0.2800 0.8213 0.9571  0.02

Computed properties:
Magnetic moment (Bohr magnetons per cell): 2.10
Offset from the most stable computed form (eV/atom): 0.000
Electronic total energy (eV per formula unit): -36.26

***

Entry 4:
DFT (PBE) results for crystalline K3SnPCO7 at its relaxed geometry.

a b c (Å): 7.2497 6.2013 9.9820
angles (deg): 85.00 90.00 90.00
Atoms (fractional coordinates):
O 0.9229 0.1162 0.3340
K 0.9988 0.2885 0.7352
K 0.2500 0.7800 0.9184
O 0.5771 0.1162 0.3340
O 0.0771 0.8838 0.6660
O 0.7500 0.4635 0.3743
Sn 0.2500 0.1879 0.3706
P 0.7500 0.2171 0.3990
O 0.2500 0.8472 0.4432
O 0.2500 0.5365 0.6257
O 0.7500 0.5602 0.8795
O 0.7500 0.9256 0.8371
O 0.7500 0.1528 0.5568
C 0.2500 0.2501 0.0750
C 0.7500 0.7499 0.9250
K 0.5012 0.2885 0.7352
O 0.2500 0.0744 0.1629
Sn 0.7500 0.8121 0.6294
K 0.7500 0.2200 0.0816
O 0.7500 0.7769 0.0512
O 0.4229 0.8838 0.6660
P 0.2500 0.7829 0.6010
K 0.4988 0.7115 0.2648
O 0.2500 0.2231 0.9488
K 0.0012 0.7115 0.2648
O 0.2500 0.4398 0.1205

Computed properties:
Magnetic moment (Bohr magnetons per cell): 0.00
Electronic total energy (eV per formula unit): -81.41

***

Entry 5:
DFT (PBE) results for crystalline Ca3Hg2Pb at its relaxed geometry.

a b c (Å): 3.7862 5.4554 8.6523
angles (deg): 108.38 90.00 90.00
Atoms (fractional coordinates):
Ca 0.5000 0.1706 0.3412
Hg 0.0000 0.6666 0.3331
Pb 0.0000 0.0000 0.0000
Hg 0.0000 0.3334 0.6669
Ca 0.5000 0.8294 0.6588
Ca 0.5000 0.5000 0.0000

Computed properties:
Magnetic moment (Bohr magnetons per cell): 0.00
Offset from the most stable computed form (eV/atom): 0.000
Electronic total energy (eV per formula unit): -13.70

***

Entry 6:
DFT (PBE) results for crystalline PuN2F4 at its relaxed geometry.

a b c (Å): 4.1955 4.1957 11.4567
angles (deg): 79.24 79.57 59.99
Last column: magnetic moment on the atom in μB.
Atoms (fractional coordinates):
N 0.2112 0.2061 0.3711  1.95
Pu 0.0000 0.0000 0.0000  -4.14
F 0.3330 0.3330 0.0008  0.02
F 0.0570 0.0632 0.8204  0.07
F 0.9430 0.9368 0.1796  0.07
N 0.7888 0.7939 0.6289  1.95
F 0.6670 0.6670 0.9992  0.02

Computed properties:
Magnetic moment (Bohr magnetons per cell): 2.00
Electronic total energy (eV per formula unit): -44.99

***

Entry 7:
DFT (PBE) results for crystalline YCrIn2 at its relaxed geometry.

a b c (Å): 4.2834 4.2834 10.8501
angles (deg): 78.62 78.62 90.00
Atoms (fractional coordinates):
Cr 0.5000 0.5000 0.0000
Y 0.0000 0.0000 0.0000
Y 0.7500 0.2500 0.5000
Cr 0.2500 0.7500 0.5000
In 0.5935 0.1250 0.2500
In 0.1565 0.6250 0.2500
In 0.8750 0.8435 0.7500
In 0.3750 0.4065 0.7500

Computed properties:
Magnetic moment (Bohr magnetons per cell): 0.08
Electronic total energy (eV per formula unit): -19.21

***

Entry 8:
DFT (PBE) results for crystalline Na4ErTh3Se8 at its relaxed geometry.

a b c (Å): 8.2908 8.6362 8.2905
angles (deg): 118.71 120.00 90.00
Atoms (fractional coordinates):
Er 0.0000 0.5000 0.0000
Na 0.0000 0.0000 0.0000
Se 0.2419 0.7380 0.4839
Th 0.0000 0.5000 0.5000
Na 0.5000 0.0000 0.5000
Se 0.7581 0.2620 0.5161
Se 0.2456 0.2621 0.0037
Na 0.5000 0.0000 0.0000
Se 0.2419 0.7379 0.9963
Th 0.5000 0.5000 0.0000
Se 0.7581 0.2621 0.0037
Se 0.7494 0.7479 0.4988
Se 0.7544 0.7379 0.9963
Na 0.0000 0.0000 0.5000
Se 0.2506 0.2521 0.5012
Th 0.5000 0.5000 0.5000

Computed properties:
Magnetic moment (Bohr magnetons per cell): 0.00
Electronic total energy (eV per formula unit): -84.37

***

Entry 9:
DFT (PBE) results for crystalline YMgZn2Pt2 at its relaxed geometry.

a b c (Å): 4.4171 4.4171 6.4956
angles (deg): 90.00 90.00 120.00
Atoms (fractional coordinates):
Y 0.0000 0.0000 0.0000
Zn 0.6667 0.3333 0.7045
Mg 0.0000 0.0000 0.5000
Zn 0.3333 0.6667 0.2955
Pt 0.6667 0.3333 0.2769
Pt 0.3333 0.6667 0.7231

Computed properties:
Magnetic moment (Bohr magnetons per cell): 0.00
Electronic total energy (eV per formula unit): -27.47

***

Entry 10:
DFT (PBE) results for crystalline Ac2TlAgRh at its relaxed geometry.

a b c (Å): 4.2091 8.5488 8.8631
angles (deg): 112.83 90.00 90.00
Atoms (fractional coordinates):
Ag 0.2500 0.5533 0.6414
Ag 0.7500 0.4467 0.3586
Rh 0.7500 0.1049 0.1027
Ac 0.2500 0.2844 0.9975
Ac 0.7500 0.7156 0.0025
Tl 0.7500 0.3113 0.6843
Rh 0.2500 0.8951 0.8973
Tl 0.2500 0.6887 0.3157
Ac 0.7500 0.8733 0.6506
Ac 0.2500 0.1267 0.3494

Computed properties:
Magnetic moment (Bohr magnetons per cell): 0.00
Electronic total energy (eV per formula unit): -22.92

***

Entry 11:
DFT (PBE) results for crystalline Pm2SbH at its relaxed geometry.

a b c (Å): 4.2846 7.0027 7.0027
angles (deg): 102.23 90.00 90.00
Atoms (fractional coordinates):
Pm 0.0000 0.0000 0.5000
Pm 0.0000 0.5000 0.0000
H 0.0000 0.3061 0.3061
Pm 0.0000 0.0000 0.0000
H 0.0000 0.6939 0.6939
Sb 0.5000 0.2144 0.7856
Sb 0.5000 0.7856 0.2144
Pm 0.5000 0.5000 0.5000

Computed properties:
Magnetic moment (Bohr magnetons per cell): 0.00
Offset from the most stable computed form (eV/atom): 0.189
Electronic total energy (eV per formula unit): -19.54

***

Entry 12:
DFT (PBE) results for crystalline CdAsPO2 at its relaxed geometry.

a b c (Å): 4.0616 4.0616 5.1896
angles (deg): 90.00 90.00 90.00
Last column: magnetic moment on the atom in μB.
Atoms (fractional coordinates):
O 0.0000 0.5000 0.0000  0.15
As 0.5000 0.5000 0.5000  -0.04
Cd 0.0000 0.0000 0.0000  0.01
O 0.5000 0.0000 0.0000  0.15
P 0.0000 0.0000 0.5000  0.05

Computed properties:
Magnetic moment (Bohr magnetons per cell): 0.38
Offset from the most stable computed form (eV/atom): 0.888
Electronic total energy (eV per formula unit): -17.90

***

Entry 13:
DFT (PBE) results for crystalline Tb5PmSm2Mg at its relaxed geometry.

a b c (Å): 5.4720 10.4343 10.6113
angles (deg): 90.00 90.00 105.20
Atoms (fractional coordinates):
Sm 0.8852 0.7704 0.7985
Sm 0.1148 0.2296 0.2985
Sm 0.8851 0.7701 0.2185
Tb 0.4997 0.9994 0.7579
Tb 0.2898 0.5797 0.3078
Tb 0.7101 0.4203 0.8078
Pm 0.7939 0.5877 0.5084
Tb 0.5003 0.0006 0.2579
Tb 0.2904 0.5808 0.7088
Pm 0.2061 0.4123 0.0084
Tb 0.9861 0.9722 0.5084
Sm 0.1149 0.2299 0.7185
Tb 0.0139 0.0278 0.0084
Tb 0.3850 0.7700 0.0084
Mg 0.5944 0.1888 0.0072
Tb 0.7096 0.4192 0.2088
Tb 0.6150 0.2300 0.5084
Mg 0.4056 0.8112 0.5072

Computed properties:
Magnetic moment (Bohr magnetons per cell): 0.00
Electronic total energy (eV per formula unit): -38.06

***

Entry 14:
DFT (PBE) results for crystalline LaTb4Pr10 at its relaxed geometry.

a b c (Å): 6.9866 9.7524 9.7524
angles (deg): 82.63 69.01 69.01
Atoms (fractional coordinates):
Pr 0.8827 0.5832 0.1608
Tb 0.5674 0.1095 0.7558
Pr 0.7500 0.5000 0.5000
Pr 0.5341 0.8392 0.5832
Pr 0.6266 0.4168 0.8392
Pr 0.3734 0.5832 0.1608
Tb 0.6768 0.7558 0.8905
Pr 0.9565 0.1608 0.4168
Pr 0.0435 0.8392 0.5832
Pr 0.4659 0.1608 0.4168
La 0.0000 0.0000 0.0000
Tb 0.3232 0.2442 0.1095
Pr 0.2500 0.5000 0.5000
Tb 0.4326 0.8905 0.2442
Pr 0.1173 0.4168 0.8392

Computed properties:
Magnetic moment (Bohr magnetons per cell): 0.00
Electronic total energy (eV per formula unit): -63.90

***

Entry 15:
DFT (PBE) results for crystalline CsTeI2Br at its relaxed geometry.

a b c (Å): 6.3792 6.3792 5.6364
angles (deg): 90.00 90.00 90.00
Atoms (fractional coordinates):
I 0.5000 0.0000 0.0000
I 0.0000 0.5000 0.0000
Cs 0.5000 0.5000 0.5000
Br 0.0000 0.0000 0.5000
Te 0.0000 0.0000 0.0000

Computed properties:
Magnetic moment (Bohr magnetons per cell): 0.00
Offset from the most stable computed form (eV/atom): 0.000
Electronic total energy (eV per formula unit): -12.32

***

Entry 16:
DFT (PBE) results for crystalline Ac8TlGe2 at its relaxed geometry.

a b c (Å): 6.2686 8.7708 8.7708
angles (deg): 114.77 97.59 97.59
Atoms (fractional coordinates):
Ge 0.0000 0.3082 0.6918
Ac 0.0984 0.3240 0.0755
Tl 0.5000 0.0000 0.0000
Ac 0.9016 0.6760 0.9245
Ac 0.7038 0.3901 0.3901
Ac 0.5000 0.2443 0.7557
Ge 0.0000 0.6918 0.3082
Ac 0.0984 0.0755 0.3240
Ac 0.5000 0.7557 0.2443
Ac 0.2962 0.6099 0.6099
Ac 0.9016 0.9245 0.6760

Computed properties:
Magnetic moment (Bohr magnetons per cell): 0.00
Electronic total energy (eV per formula unit): -47.10

***

Entry 17:
DFT (PBE) results for crystalline CrPt5Rh2 at its relaxed geometry.

a b c (Å): 5.4630 5.4630 5.4630
angles (deg): 104.26 104.28 120.46
Last column: magnetic moment on the atom in μB.
Atoms (fractional coordinates):
Pt 0.7781 0.2777 0.0000  -0.06
Pt 0.2780 0.7777 0.0000  -0.06
Rh 0.2777 0.7781 0.5000  0.05
Cr 0.7780 0.7776 0.0000  2.90
Pt 0.2777 0.2780 0.5000  -0.06
Rh 0.7777 0.2781 0.5000  0.05
Pt 0.2781 0.2777 0.0000  -0.17
Pt 0.7777 0.7781 0.5000  -0.06

Computed properties:
Magnetic moment (Bohr magnetons per cell): 2.81
Electronic total energy (eV per formula unit): -55.04

***

Entry 18:
DFT (PBE) results for crystalline Ba6Mg2In at its relaxed geometry.

a b c (Å): 6.1849 8.2571 9.7733
angles (deg): 83.19 71.55 68.01
Atoms (fractional coordinates):
Ba 0.7011 0.7717 0.8261
Ba 0.0272 0.7717 0.1739
Ba 0.6322 0.2357 0.5000
In 0.0000 0.5000 0.5000
Mg 0.6721 0.5000 0.1559
Ba 0.2989 0.2283 0.1739
Ba 0.9728 0.2283 0.8261
Ba 0.3678 0.7643 0.5000
Mg 0.3279 0.5000 0.8441

Computed properties:
Magnetic moment (Bohr magnetons per cell): 0.00
Electronic total energy (eV per formula unit): -18.68

***

Entry 19:
DFT (PBE) results for crystalline MnIrRh2 at its relaxed geometry.

a b c (Å): 4.6837 4.6837 4.6837
angles (deg): 132.08 132.08 70.11
Last column: magnetic moment on the atom in μB.
Atoms (fractional coordinates):
Rh 0.0000 0.0000 0.0000  -0.07
Ir 0.2500 0.7500 0.5000  -0.12
Mn 0.7500 0.2500 0.5000  2.89
Rh 0.5000 0.5000 0.0000  -0.07

Computed properties:
Magnetic moment (Bohr magnetons per cell): 2.70
Electronic total energy (eV per formula unit): -33.19

***

Entry 20:
DFT (PBE) results for crystalline Sr2BiO6 at its relaxed geometry.

a b c (Å): 3.9195 6.1473 6.4535
angles (deg): 118.44 97.25 90.00
Last column: magnetic moment on the atom in μB.
Atoms (fractional coordinates):
O 0.5000 0.2170 0.0000  0.26
Bi 0.0000 0.0000 0.0000  -0.02
O 0.1654 0.3725 0.2841  0.08
Sr 0.3246 0.3337 0.6674  0.00
O 0.8346 0.0884 0.7159  0.08
O 0.1654 0.9116 0.2841  0.08
O 0.8346 0.6275 0.7159  0.08
Sr 0.6754 0.6663 0.3326  0.00
O 0.5000 0.7830 0.0000  0.26

Computed properties:
Magnetic moment (Bohr magnetons per cell): 0.99
Electronic total energy (eV per formula unit): -49.25